No. 1
# MoAs2Ir PBEsol optimized geometry
# E_form ... 40.3 kJ per mole of atoms
# Total moment ... 0.070 μB per atom
# E_tot ... -7.533 eV per atom
# Fermi-level density of states ... 6.58 states/eV/cell
data_MoAs2Ir
_chemical_formula_sum 'Mo2 As4 Ir2'
_cell_length_a 5.655
_cell_length_b 5.655
_cell_length_c 6.593
_cell_angle_alpha 115.39
_cell_angle_beta 115.39
_cell_angle_gamma 90.00
_space_group_name_H-M_alt 'P 1'
_space_group_IT_number 1
loop_
_space_group_symop_operation_xyz
'x,y,z'
loop_
_atom_site_label
_atom_site_type_symbol
_atom_site_fract_x
_atom_site_fract_y
_atom_site_fract_z
_atom_site_occupancy
Mo1 Mo 0.750 0.250 0.500 1
Mo2 Mo 0.500 0.500 0.000 1
Ir1 Ir 0.250 0.750 0.500 1
Ir2 Ir 0.000 0.000 0.000 1
As1 As 0.365 0.875 0.250 1
As2 As 0.885 0.375 0.250 1
As3 As 0.125 0.115 0.750 1
As4 As 0.625 0.635 0.750 1

No. 2
# IrRu3 PBEsol optimized geometry
# E_form ... -4.3 kJ per mole of atoms
# Total moment ... 0.000 μB per atom
# E_tot ... -10.130 eV per atom
# Fermi-level density of states ... 2.99 states/eV/cell
data_IrRu3
_chemical_formula_sum 'Ir1 Ru3'
_cell_length_a 2.697
_cell_length_b 4.274
_cell_length_c 4.673
_cell_angle_alpha 90.00
_cell_angle_beta 90.00
_cell_angle_gamma 90.00
_space_group_name_H-M_alt 'P 1'
_space_group_IT_number 1
loop_
_space_group_symop_operation_xyz
'x,y,z'
loop_
_atom_site_label
_atom_site_type_symbol
_atom_site_fract_x
_atom_site_fract_y
_atom_site_fract_z
_atom_site_occupancy
Ru1 Ru 0.000 0.500 0.335 1
Ru2 Ru 0.500 0.000 0.500 1
Ru3 Ru 0.500 0.500 0.831 1
Ir1 Ir 0.000 0.000 0.000 1

Copy entry 1 word for word.
# MoAs2Ir PBEsol optimized geometry
# E_form ... 40.3 kJ per mole of atoms
# Total moment ... 0.070 μB per atom
# E_tot ... -7.533 eV per atom
# Fermi-level density of states ... 6.58 states/eV/cell
data_MoAs2Ir
_chemical_formula_sum 'Mo2 As4 Ir2'
_cell_length_a 5.655
_cell_length_b 5.655
_cell_length_c 6.593
_cell_angle_alpha 115.39
_cell_angle_beta 115.39
_cell_angle_gamma 90.00
_space_group_name_H-M_alt 'P 1'
_space_group_IT_number 1
loop_
_space_group_symop_operation_xyz
'x,y,z'
loop_
_atom_site_label
_atom_site_type_symbol
_atom_site_fract_x
_atom_site_fract_y
_atom_site_fract_z
_atom_site_occupancy
Mo1 Mo 0.750 0.250 0.500 1
Mo2 Mo 0.500 0.500 0.000 1
Ir1 Ir 0.250 0.750 0.500 1
Ir2 Ir 0.000 0.000 0.000 1
As1 As 0.365 0.875 0.250 1
As2 As 0.885 0.375 0.250 1
As3 As 0.125 0.115 0.750 1
As4 As 0.625 0.635 0.750 1

Which of these has the highest E_tot?
MoAs2Ir